1.
{
  "formula": "NaPmNO",
  "functional": "PBE",
  "state": "optimized geometry",
  "lattice_angstrom": [[-2.0994, 3.6851, -0.4586], [-0.1591, -0.6799, -4.7353], [-5.8784, -3.2661, 0.6665]],
  "species": ["N", "N", "Na", "Na", "O", "O", "Pm", "Pm"],
  "frac_coords": [[0.0000, 0.9384, 0.3330], [0.0000, 0.4384, 0.6670], [0.0000, 0.4384, 0.3190], [0.0000, 0.9384, 0.6810], [0.5000, 0.4386, 0.1433], [0.5000, 0.9386, 0.8567], [0.5000, 0.9385, 0.1922], [0.5000, 0.4385, 0.8078]],
  "magmom_total_mub_per_fu": 1.002,
  "relative_energy_ev_per_fu": 0.09
}

***

2.
{
  "formula": "AcMg8Cd4",
  "functional": "PBE",
  "state": "optimized geometry",
  "lattice_angstrom": [[-5.0850, 5.0850, 2.9594], [5.0850, -5.0850, 2.9594], [5.0850, 5.0850, -2.9594]],
  "species": ["Ac", "Cd", "Cd", "Cd", "Cd", "Mg", "Mg", "Mg", "Mg", "Mg", "Mg", "Mg", "Mg"],
  "frac_coords": [[0.0000, 0.0000, 0.0000], [0.5000, 0.0000, 0.0000], [0.0000, 0.5000, 0.0000], [0.0000, 0.0000, 0.5000], [0.5000, 0.5000, 0.5000], [0.7166, 0.5000, 0.2166], [0.5000, 0.7166, 0.2166], [0.3526, 0.0000, 0.3526], [0.0000, 0.3526, 0.3526], [0.6474, 0.0000, 0.6474], [0.0000, 0.6474, 0.6474], [0.2834, 0.5000, 0.7834], [0.5000, 0.2834, 0.7834]],
  "magmom_total_mub_per_fu": 0.005,
  "total_energy_ev_per_atom": -1.7082
}

***

3.
{
  "formula": "HoTm2Mg3Al2Zn",
  "functional": "PBE",
  "state": "optimized geometry",
  "lattice_angstrom": [[-2.4769, 1.9279, -3.1203], [-4.6074, 2.4114, 5.1473], [5.7269, 4.0788, -2.0259]],
  "species": ["Al", "Al", "Ho", "Mg", "Mg", "Mg", "Tm", "Tm", "Zn"],
  "frac_coords": [[0.5000, 0.6678, 0.3332], [0.5000, 0.3332, 0.6678], [0.0000, 0.4223, 0.4223], [0.5000, 0.9999, 0.2411], [0.5000, 0.7586, 0.7586], [0.5000, 0.2411, 0.9999], [0.0000, 0.5785, 0.0006], [0.0000, 0.0006, 0.5785], [0.0000, 0.9981, 0.9981]],
  "magmom_total_mub_per_fu": 0.007,
  "total_energy_ev_per_atom": -3.2935
}

***

4.
{
  "formula": "BaIr2Os2",
  "functional": "PBE",
  "state": "optimized geometry",
  "lattice_angstrom": [[-2.1893, 2.1893, 5.2508], [2.1893, -2.1893, 5.2508], [2.1893, 2.1893, -5.2508]],
  "species": ["Ba", "Ir", "Ir", "Os", "Os"],
  "frac_coords": [[0.0000, 0.0000, 0.0000], [0.7500, 0.2500, 0.5000], [0.2500, 0.7500, 0.5000], [0.3869, 0.3869, 0.0000], [0.6131, 0.6131, 0.0000]],
  "magmom_total_mub_per_fu": 0.603,
  "relative_energy_ev_per_fu": 0.00
}

***

5.
{
  "formula": "BaTbAsO",
  "functional": "PBE",
  "state": "optimized geometry",
  "lattice_angstrom": [[4.4736, 0.0000, 0.0000], [0.0000, 4.4736, 0.0000], [0.0000, 0.0000, 9.5517]],
  "species": ["As", "As", "Ba", "Ba", "O", "O", "Tb", "Tb"],
  "frac_coords": [[0.0000, 0.5000, 0.2647], [0.5000, 0.0000, 0.7353], [0.0000, 0.0000, 0.5000], [0.5000, 0.5000, 0.5000], [0.0000, 0.0000, 0.0000], [0.5000, 0.5000, 0.0000], [0.5000, 0.0000, 0.0805], [0.0000, 0.5000, 0.9195]],
  "magmom_total_mub_per_fu": 0.005,
  "relative_energy_ev_per_fu": 1.93
}

***

6.
{
  "formula": "NaErIn2I6",
  "functional": "PBE",
  "state": "optimized geometry",
  "lattice_angstrom": [[0.0000, 6.0360, 6.0360], [6.0360, 0.0000, 6.0360], [6.0360, 6.0360, 0.0000]],
  "species": ["Er", "I", "I", "I", "I", "I", "I", "In", "In", "Na"],
  "frac_coords": [[0.0000, 0.0000, 0.0000], [0.7535, 0.2465, 0.2465], [0.2465, 0.7535, 0.2465], [0.7535, 0.7535, 0.2465], [0.2465, 0.2465, 0.7535], [0.7535, 0.2465, 0.7535], [0.2465, 0.7535, 0.7535], [0.2500, 0.2500, 0.2500], [0.7500, 0.7500, 0.7500], [0.5000, 0.5000, 0.5000]],
  "magmom_total_mub_per_fu": 0.000,
  "total_energy_ev_per_atom": -2.9485
}

***

7.
{
  "formula": "Zr4Co3Si",
  "functional": "PBE",
  "state": "optimized geometry",
  "lattice_angstrom": [[5.3006, 0.0000, 0.0000], [0.0000, 3.9127, 0.0000], [-0.0072, 0.0000, 6.5209]],
  "species": ["Co", "Co", "Co", "Si", "Zr", "Zr", "Zr", "Zr"],
  "frac_coords": [[0.8478, 0.0000, 0.4507], [0.1478, 0.5000, 0.5419], [0.6270, 0.0000, 0.9681], [0.3680, 0.5000, 0.0371], [0.8704, 0.5000, 0.1785], [0.3709, 0.0000, 0.3390], [0.6444, 0.5000, 0.6752], [0.1237, 0.0000, 0.8095]],
  "magmom_total_mub_per_fu": 0.018,
  "total_energy_ev_per_atom": -8.0757
}

***

8.
{
  "formula": "SrTc2Ir",
  "functional": "PBE",
  "state": "optimized geometry",
  "lattice_angstrom": [[-2.4176, -3.9234, 0.4544], [-4.5926, 0.0284, -0.5927], [-1.8659, -2.0150, -3.7286]],
  "species": ["Ir", "Sr", "Tc", "Tc"],
  "frac_coords": [[0.2500, 0.2500, 0.2500], [0.5000, 0.5000, 0.5000], [0.0000, 0.0000, 0.0000], [0.7500, 0.7500, 0.7500]],
  "magmom_total_mub_per_fu": 1.056,
  "total_energy_ev_per_atom": -7.0447
}

***

Which formula does entry 7 have?
Zr4Co3Si

***

What is the formula in the fifth record?
BaTbAsO